*w*
Here is La4Tb4Er3 after structural relaxation from Alexandria. Energies are from PBE.

Cell lengths 3.6324, 9.5229, 21.9003 Å; angles 90.00, 90.00, 90.00 degrees
With the nearest neighbours (Å) after each atom.
Space group Immm (No. 71)
Symmetry-distinct sites (fractional):
La 0.0000 0.1693 0.1448 (multiplicity 8)  1 La 3.22, 3 Tb 3.46-3.60
Tb 0.0000 0.3143 0.0000 (multiplicity 4)  6 Er 3.40-3.50, 2 La 3.46, 3 Tb 3.54-3.63
Tb 0.0000 0.5000 0.2339 (multiplicity 4)  2 Er 3.38, 6 La 3.60-3.71, 2 Tb 3.63
Er 0.0000 0.0000 0.3965 (multiplicity 4)  6 Tb 3.38-3.40, 2 Er 3.63, 4 La 3.75
Er 0.0000 0.5000 0.5000 (multiplicity 2)  4 Tb 3.50, 2 Er 3.63

Results
Calculated volume   34.43 A^3/atom
Spin magnetization   0.00 μB/cell

=====

*x*
Here is La4Tb4Er3 after structural relaxation from Alexandria. Energies are from PBE.

Cell lengths 3.5375, 5.7332, 18.2741 Å; angles 98.99, 95.55, 90.00 degrees
With the nearest neighbours (Å) after each atom.
Space group P-1 (No. 2)
Symmetry-distinct sites (fractional):
La 0.0919 0.0913 0.1839 (multiplicity 2)  3 Tb 3.22-3.33, 2 La 3.54
La 0.2300 0.7298 0.4597 (multiplicity 2)  4 Tb 3.35-3.64, 6 La 3.54-3.67
Tb 0.0449 0.5443 0.0896 (multiplicity 2)  3 Tb 3.22-3.54, 2 La 3.33
Tb 0.1819 0.1816 0.3634 (multiplicity 2)  3 La 3.22-3.35, 2 Tb 3.54
Er 0.3639 0.3647 0.7282 (multiplicity 2)  2 Er 3.54, 6 La 3.72-3.81, 6 Tb 3.72-3.75
Er 0.5000 0.0000 0.0000 (multiplicity 1)  2 Er 3.54, 8 Tb 3.73, 4 La 3.75

Results
Calculated volume   33.12 A^3/atom
Spin magnetization   0.00 μB/cell

=====

Relative energies, in meV per atom, with the most stable structure set to zero: *w* 55; *x* 0.